# 1
LiFeGeAu | GGA-PBE | relaxed

Output
- Crystal system: cubic
- E_tot: -4.580 eV per atom
- Spin magnetization: 0.623 μB/atom
- E above lowest polymorph: 47 meV/atom
- Space group: F-43m (216)

Cell: 4.328 4.328 4.328 Å, 60.00 60.00 60.00°
Sites, in units of the cell vectors:
1 Li 0.500 0.500 0.500
2 Fe 0.750 0.750 0.750
3 Au 0.250 0.250 0.250
4 Ge 0.000 0.000 0.000


# 2
GdNbAg | GGA-PBE | relaxed

Output
- Crystal system: cubic
- E_tot: -4.890 eV per atom
- Spin magnetization: 0.470 μB/atom
- Space group: F-43m (216)

Cell: 4.729 4.729 4.729 Å, 60.00 60.00 60.00°
Sites, in units of the cell vectors:
1 Ag 0.250 0.250 0.250
2 Nb 0.000 0.000 0.000
3 Gd 0.750 0.750 0.750


# 3
TaGaO4 | GGA-PBE | relaxed

Output
- Crystal system: tetragonal
- E_tot: -8.100 eV per atom
- Spin magnetization: 0.000 μB/atom
- Space group: I4_1/amd (141)

Cell: 5.557 5.557 5.557 Å, 109.36 109.36 109.68°
Sites, in units of the cell vectors:
1 O 0.102 0.292 0.811
2 O 0.269 0.958 0.311
3 O 0.042 0.352 0.311
4 O 0.481 0.292 0.189
5 O 0.708 0.519 0.811
6 O 0.708 0.898 0.189
7 O 0.042 0.731 0.689
8 O 0.648 0.958 0.689
9 Ta 0.750 0.250 0.500
10 Ta 0.000 0.000 0.000
11 Ga 0.250 0.750 0.500
12 Ga 0.500 0.500 0.000


# 4
DyErIn2Ni4 | GGA-PBE | relaxed

Output
- Crystal system: hexagonal
- E_tot: -5.029 eV per atom
- Spin magnetization: 0.001 μB/atom
- E above lowest polymorph: 51 meV/atom
- Space group: P-6m2 (187)

Cell: 4.395 4.395 8.393 Å, 90.00 90.00 120.00°
Sites, in units of the cell vectors:
1 Ni 0.667 0.333 0.165
2 Ni 0.000 0.000 0.660
3 Ni 0.667 0.333 0.835
4 Ni 0.000 0.000 0.340
5 Er 0.667 0.333 0.500
6 In 0.333 0.667 0.252
7 In 0.333 0.667 0.748
8 Dy 0.000 0.000 0.000


# 5
HfGaSb2 | GGA-PBE | relaxed

Output
- Crystal system: cubic
- E_tot: -5.088 eV per atom
- Spin magnetization: 0.029 μB/atom
- Space group: F-43m (216)

Cell: 5.098 5.098 5.098 Å, 60.00 60.00 60.00°
Sites, in units of the cell vectors:
1 Sb 0.000 0.000 0.000
2 Sb 0.750 0.750 0.750
3 Ga 0.500 0.500 0.500
4 Hf 0.250 0.250 0.250


# 6
NdZnO3 | GGA-PBE | relaxed

Output
- Crystal system: trigonal
- E_tot: -6.106 eV per atom
- Spin magnetization: 0.002 μB/atom
- Space group: R-3 (148)

Cell: 5.550 5.550 5.888 Å, 61.88 61.88 60.00°
Sites, in units of the cell vectors:
1 O 0.300 0.944 0.238
2 O 0.700 0.056 0.762
3 O 0.482 0.700 0.762
4 O 0.056 0.482 0.762
5 O 0.518 0.300 0.238
6 O 0.944 0.518 0.238
7 Nd 0.872 0.872 0.384
8 Nd 0.128 0.128 0.616
9 Zn 0.652 0.652 0.043
10 Zn 0.348 0.348 0.957


# 7
CdSbAs2 | GGA-PBE | relaxed

Output
- Crystal system: cubic
- E_tot: -3.250 eV per atom
- Space group: F-43m (216)

Cell: 5.009 5.009 5.009 Å, 60.00 60.00 60.00°
Sites, in units of the cell vectors:
1 Sb 0.750 0.750 0.750
2 As 0.000 0.000 0.000
3 As 0.250 0.250 0.250
4 Cd 0.500 0.500 0.500


# 8
SrYTe3Au | GGA-PBE | relaxed

Output
- Crystal system: monoclinic
- E_tot: -4.629 eV per atom
- Spin magnetization: 0.001 μB/atom
- Space group: C2/m (12)

Cell: 10.182 10.182 8.862 Å, 100.53 100.53 24.72°
Sites, in units of the cell vectors:
1 Y 0.162 0.162 0.095
2 Y 0.838 0.838 0.905
3 Te 0.677 0.677 0.860
4 Te 0.312 0.312 0.651
5 Te 0.323 0.323 0.140
6 Te 0.688 0.688 0.349
7 Te 0.500 0.500 0.500
8 Te 0.000 0.000 0.000
9 Sr 0.124 0.124 0.579
10 Sr 0.876 0.876 0.421
11 Au 0.449 0.449 0.788
12 Au 0.551 0.551 0.212


Question: Which value of E_tot does entry 3 give?
Answer: -8.100 eV per atom